(1)
Sr2IrN: relaxed, PBE.

abc: 7.773 7.773 7.773
angles: 93.49 93.49 151.45
Atoms (fractional coordinates):
Sr1 0.375 0.174 0.299
Sr2 0.826 0.125 0.201
Sr3 0.875 0.076 0.701
Sr4 0.924 0.625 0.799
Ir1 0.250 0.750 0.500
Ir2 0.500 0.500 0.000
N1 0.000 0.000 0.000
N2 0.750 0.250 0.500

Output
Raw formation energy: -1.96 eV per formula unit
Space group: I-42d (122)
Spin magnetization: 0.0 Bohr magnetons per cell

---

(2)
Sr2IrN: relaxed, PBE.

abc: 5.404 5.404 3.803
angles: 90.00 90.00 90.00
Atoms (fractional coordinates):
Sr1 0.000 0.500 0.000
Sr2 0.500 0.000 0.000
Ir1 0.000 0.000 0.500
N1 0.000 0.000 0.000

Output
Raw formation energy: -2.06 eV per formula unit
Space group: P4/mmm (123)
Spin magnetization: 0.0 Bohr magnetons per cell

---

(3)
Sr2IrN3: relaxed, PBE.

abc: 6.311 6.311 12.490
angles: 92.37 92.37 128.10
Atoms (fractional coordinates):
Sr1 0.021 0.421 0.356
Sr2 0.126 0.342 0.925
Sr3 0.342 0.126 0.425
Sr4 0.421 0.021 0.856
Sr5 0.579 0.979 0.144
Sr6 0.658 0.874 0.575
Sr7 0.874 0.658 0.075
Sr8 0.979 0.579 0.644
Ir1 0.289 0.298 0.169
Ir2 0.298 0.289 0.669
Ir3 0.702 0.711 0.331
Ir4 0.711 0.702 0.831
N1 0.002 0.998 0.250
N2 0.124 0.460 0.134
N3 0.157 0.347 0.543
N4 0.347 0.157 0.043
N5 0.382 0.618 0.750
N6 0.460 0.124 0.634
N7 0.540 0.876 0.366
N8 0.618 0.382 0.250
N9 0.653 0.843 0.957
N10 0.843 0.653 0.457
N11 0.876 0.540 0.866
N12 0.998 0.002 0.750

Output
Raw formation energy: -1.59 eV per formula unit
Space group: C2/c (15)
Spin magnetization: 0.0 Bohr magnetons per cell